Version i
Below is In2SiSb after structural relaxation, with properties calculated at the PBE-GGA level.

Summary:
D(E_F) in states/eV/f.u.: 1.74
Magnetization in μB/f.u.: 0.00
Calculated density in g cm⁻³: 6.31

a = 5.504 Å, b = 5.796 Å, c = 3.128 Å
α = 90.00°, β = 90.00°, γ = 90.00°
Space group Pmm2 (No. 25)
Unique sites:
In  0.000  0.000  0.000 (multiplicity 1)
In  0.500  0.000  0.462 (multiplicity 1)
Si  0.000  0.500  0.906 (multiplicity 1)
Sb  0.500  0.500  0.695 (multiplicity 1)

Version ii
Below is In2SiSb after structural relaxation, with properties calculated at the PBE-GGA level.

Summary:
D(E_F) in states/eV/f.u.: 1.98
Magnetization in μB/f.u.: 0.00
Calculated density in g cm⁻³: 6.03

a = 3.865 Å, b = 4.177 Å, c = 12.945 Å
α = 90.00°, β = 90.00°, γ = 90.00°
Space group Immm (No. 71)
Unique sites:
In  0.000  0.000  0.190 (multiplicity 4)
Si  0.000  0.500  0.500 (multiplicity 2)
Sb  0.000  0.500  0.000 (multiplicity 2)

Which structure loses on stability? version i does.

Version i
Below is NbPS2N after structural relaxation, with properties calculated at the PBE-GGA level.

Summary:
D(E_F) in states/eV/f.u.: 3.65
Magnetization in μB/f.u.: 0.00
Calculated density in g cm⁻³: 3.59

a = 4.929 Å, b = 4.929 Å, c = 3.851 Å
α = 90.00°, β = 90.00°, γ = 90.00°
Space group P4/mmm (No. 123)
Unique sites:
Nb  0.000  0.000  0.000 (multiplicity 1)
P  0.500  0.500  0.500 (multiplicity 1)
S  0.000  0.500  0.000 (multiplicity 2)
N  0.000  0.000  0.500 (multiplicity 1)

Version ii
Below is NbPS2N after structural relaxation, with properties calculated at the PBE-GGA level.

Summary:
D(E_F) in states/eV/f.u.: 2.58
Magnetization in μB/f.u.: 0.00
Calculated density in g cm⁻³: 4.96

a = 4.131 Å, b = 4.131 Å, c = 3.962 Å
α = 90.00°, β = 90.00°, γ = 90.00°
Space group P4/mmm (No. 123)
Unique sites:
Nb  0.000  0.000  0.000 (multiplicity 1)
P  0.500  0.500  0.000 (multiplicity 1)
S  0.000  0.500  0.500 (multiplicity 2)
N  0.500  0.500  0.500 (multiplicity 1)

Which structure loses on stability? version ii does.